# 1
ZrBiSb2I: optimized geometry, PBE.

- Fermi-level density of states (states/eV/cell) = 4.98

Unit cell a=5.697 b=5.697 c=5.465 alpha=90.00 beta=90.00 gamma=90.00
Atoms (fractional coordinates):
1 Bi 0.500 0.500 0.500
2 Zr 0.000 0.000 0.000
3 Sb 0.500 0.000 0.000
4 Sb 0.000 0.500 0.000
5 I 0.000 0.000 0.500



# 2
ScBiI2: optimized geometry, PBE.

- Fermi-level density of states (states/eV/cell) = 2.97

Unit cell a=3.796 b=3.796 c=11.485 alpha=80.49 beta=80.49 gamma=60.00
Atoms (fractional coordinates):
1 Bi 0.000 0.000 0.000
2 I 0.890 0.890 0.331
3 I 0.110 0.110 0.669
4 Sc 0.500 0.500 0.500



# 3
ScBi2I: optimized geometry, PBE.

- Fermi-level density of states (states/eV/cell) = 6.66

Unit cell a=5.553 b=5.553 c=5.553 alpha=60.00 beta=60.00 gamma=60.00
Atoms (fractional coordinates):
1 Sc 0.000 0.000 0.000
2 Bi 0.250 0.250 0.250
3 Bi 0.750 0.750 0.750
4 I 0.500 0.500 0.500



# 4
ScBi3I: optimized geometry, PBE.

- Fermi-level density of states (states/eV/cell) = 4.23

Unit cell a=5.656 b=5.656 c=5.656 alpha=90.00 beta=90.00 gamma=90.00
Atoms (fractional coordinates):
1 Bi 0.000 0.500 0.000
2 Bi 0.000 0.000 0.500
3 Bi 0.500 0.000 0.000
4 I 0.500 0.500 0.500
5 Sc 0.000 0.000 0.000



# 5
Sc2BiI: optimized geometry, PBE.

- Fermi-level density of states (states/eV/cell) = 5.56

Unit cell a=10.643 b=10.643 c=10.643 alpha=19.35 beta=19.35 gamma=19.35
Atoms (fractional coordinates):
1 Sc 0.906 0.906 0.906
2 Sc 0.094 0.094 0.094
3 Bi 0.000 0.000 0.000
4 I 0.500 0.500 0.500



# 6
Sc2BiI2: optimized geometry, PBE.

- Fermi-level density of states (states/eV/cell) = 2.61

Unit cell a=4.197 b=4.197 c=11.256 alpha=79.26 beta=79.26 gamma=60.00
Atoms (fractional coordinates):
1 Sc 0.616 0.616 0.153
2 Sc 0.384 0.384 0.847
3 I 0.228 0.228 0.317
4 I 0.772 0.772 0.683
5 Bi 0.000 0.000 0.000



# 7
ScBi2I: optimized geometry, PBE.

- Fermi-level density of states (states/eV/cell) = 4.96

Unit cell a=4.605 b=4.605 c=12.610 alpha=79.48 beta=79.48 gamma=90.00
Atoms (fractional coordinates):
1 Sc 0.250 0.750 0.500
2 Sc 0.500 0.500 0.000
3 Bi 0.875 0.836 0.750
4 Bi 0.375 0.414 0.750
5 Bi 0.164 0.625 0.250
6 Bi 0.586 0.125 0.250
7 I 0.750 0.250 0.500
8 I 0.000 0.000 0.000



# 8
ScBiI2: optimized geometry, PBE.

- Fermi-level density of states (states/eV/cell) = 3.48

Unit cell a=5.482 b=5.482 c=5.482 alpha=60.00 beta=60.00 gamma=60.00
Atoms (fractional coordinates):
1 I 0.250 0.250 0.250
2 I 0.750 0.750 0.750
3 Bi 0.500 0.500 0.500
4 Sc 0.000 0.000 0.000



# 9
ScBiI2: optimized geometry, PBE.

- Fermi-level density of states (states/eV/cell) = 0.97

Unit cell a=10.576 b=10.576 c=8.027 alpha=48.79 beta=48.79 gamma=90.00
Atoms (fractional coordinates):
1 I 0.276 0.625 0.250
2 I 0.875 0.724 0.750
3 I 0.474 0.125 0.250
4 I 0.375 0.526 0.750
5 Sc 0.250 0.750 0.500
6 Sc 0.500 0.500 0.000
7 Bi 0.000 0.000 0.000
8 Bi 0.750 0.250 0.500



# 10
ScBiI: optimized geometry, PBE.

- Fermi-level density of states (states/eV/cell) = 2.75

Unit cell a=5.933 b=10.247 c=7.466 alpha=99.35 beta=90.00 gamma=90.00
Atoms (fractional coordinates):
1 Sc 0.324 0.123 0.827
2 Sc 0.676 0.877 0.173
3 Sc 0.824 0.877 0.673
4 Sc 0.176 0.123 0.327
5 Bi 0.161 0.886 0.016
6 Bi 0.839 0.114 0.984
7 Bi 0.339 0.886 0.516
8 Bi 0.661 0.114 0.484
9 I 0.630 0.670 0.858
10 I 0.130 0.330 0.642
11 I 0.870 0.670 0.358
12 I 0.370 0.330 0.142



# 11
Sc2BiI: optimized geometry, PBE.

- Fermi-level density of states (states/eV/cell) = 2.03

Unit cell a=5.255 b=5.255 c=5.255 alpha=60.00 beta=60.00 gamma=60.00
Atoms (fractional coordinates):
1 Sc 0.250 0.250 0.250
2 Sc 0.750 0.750 0.750
3 Bi 0.500 0.500 0.500
4 I 0.000 0.000 0.000



# 12
Sc2BiI: optimized geometry, PBE.

- Fermi-level density of states (states/eV/cell) = 2.38

Unit cell a=8.446 b=8.446 c=8.446 alpha=31.91 beta=31.91 gamma=31.91
Atoms (fractional coordinates):
1 Sc 0.118 0.118 0.118
2 Sc 0.882 0.882 0.882
3 Bi 0.500 0.500 0.500
4 I 0.000 0.000 0.000



no.,uncorrected formation energy (kJ/mol of atoms),DFT total energy (eV per cell)
1,23,-21.03
2,-53,-15.52
3,18,-14.88
4,11,-18.95
5,-10,-18.51
6,-92,-24.43
7,-11,-32.20
8,-9,-13.70
9,-42,-30.08
10,-69,-55.60
11,-45,-19.96
12,-46,-20.00